PBE MoOs2Pb, relaxed; space-group type = I-42d, No. 122; energy of formation = 1.483 eV/atom; N(E_F) = 0.9 states/eV/f.u.
1.0
-3.1091 3.1091 5.1627
3.1091 -3.1091 5.1627
3.1091 3.1091 -5.1627
Mo Os Pb
2 4 2
Cartesian
0.0000 0.0000 0.0000 Mo
0.0000 3.1091 2.5814 Mo
4.6636 1.3263 -1.2907 Os
1.3263 1.5545 1.2907 Os
-1.5545 1.7828 3.8720 Os
1.7828 1.5545 6.4534 Os
3.1091 0.0000 2.5814 Pb
0.0000 0.0000 5.1627 Pb



PBE MoOsPb2, relaxed; energy above the most stable polymorph in this dataset = 2.951 eV/f.u.; space-group type = P2/m, No. 10; energy of formation = 1.064 eV/atom; N(E_F) = 3.0 states/eV/f.u.
1.0
3.1465 0.0000 0.0000
0.0000 4.5047 0.0000
-0.2283 0.0000 5.7073
Mo Os Pb
1 1 2
Cartesian
0.0000 0.0000 0.0000 Mo
1.4591 0.0000 2.8537 Os
0.7055 2.2523 4.2634 Pb
2.2127 2.2523 1.4439 Pb



PBE MoOsPb2, relaxed; energy above the most stable polymorph in this dataset = 2.680 eV/f.u.; space-group type = P4/mmm, No. 123; energy of formation = 0.997 eV/atom; N(E_F) = 3.4 states/eV/f.u.
1.0
3.3523 0.0000 0.0000
0.0000 3.3523 0.0000
0.0000 0.0000 6.9442
Mo Os Pb
1 1 2
Cartesian
0.0000 0.0000 0.0000 Mo
0.0000 0.0000 3.4721 Os
1.6762 1.6762 1.7872 Pb
1.6762 1.6762 5.1570 Pb



PBE MoOsPb, relaxed; space-group type = P3m1, No. 156; energy of formation = 0.645 eV/atom; N(E_F) = 2.0 states/eV/f.u.
1.0
2.9995 0.0000 0.0000
-1.4997 2.5976 0.0000
0.0000 0.0000 7.1363
Mo Os Pb
1 1 1
Cartesian
0.0000 0.0000 0.0000 Mo
1.4997 0.8659 1.9554 Os
0.0000 1.7318 4.5363 Pb